Arrangement a

DFT (GGA-PBE) results for a relaxed structure of CaZrB2.

Results
Total moment   0.0 μB per formula unit
N(E_F)   2.7 states/eV per cell

Unit cell a=4.9065 b=4.9065 c=14.2416 alpha=90.00 beta=90.00 gamma=90.00
Space group I-42d (No. 122)
Unique sites:
Ca (0.0000, 0.0000, 0.0000) x4
Zr (0.0000, 0.0000, 0.5000) x4
B (0.1594, 0.2500, 0.6250) x8

Arrangement b

DFT (GGA-PBE) results for a relaxed structure of CaZrB2.

Results
Total moment   0.0 μB per formula unit
N(E_F)   5.3 states/eV per cell

Unit cell a=6.2084 b=6.2084 c=6.2084 alpha=90.00 beta=90.00 gamma=90.00
Space group Fm-3m (No. 225)
Unique sites:
Ca (0.0000, 0.0000, 0.0000) x4
Zr (0.0000, 0.0000, 0.5000) x4
B (0.2500, 0.2500, 0.2500) x8

Least stable: arrangement a

Arrangement a

DFT (GGA-PBE) results for a relaxed structure of CdB3Cl.

Results
Total moment   0.0 μB per formula unit
N(E_F)   2.3 states/eV per cell

Unit cell a=4.0375 b=4.0375 c=4.0375 alpha=90.00 beta=90.00 gamma=90.00
Space group Pm-3m (No. 221)
Unique sites:
Cd (0.0000, 0.0000, 0.0000) x1
B (0.0000, 0.5000, 0.5000) x3
Cl (0.5000, 0.5000, 0.5000) x1

Arrangement b

DFT (GGA-PBE) results for a relaxed structure of CdB3Cl.

Results
Total moment   0.0 μB per formula unit
N(E_F)   2.6 states/eV per cell

Unit cell a=4.5272 b=4.5272 c=4.5272 alpha=90.00 beta=90.00 gamma=90.00
Space group Pm-3m (No. 221)
Unique sites:
Cd (0.0000, 0.0000, 0.0000) x1
B (0.0000, 0.0000, 0.5000) x3
Cl (0.5000, 0.5000, 0.5000) x1

Least stable: arrangement a

Arrangement a

DFT (GGA-PBE) results for a relaxed structure of Cd2BCl.

Results
Total moment   0.0 μB per formula unit
N(E_F)   13.8 states/eV per cell

Unit cell a=6.8778 b=6.8778 c=6.8778 alpha=90.00 beta=90.00 gamma=90.00
Space group Fm-3m (No. 225)
Unique sites:
Cd (0.2500, 0.2500, 0.2500) x8
B (0.0000, 0.0000, 0.0000) x4
Cl (0.0000, 0.0000, 0.5000) x4

Arrangement b

DFT (GGA-PBE) results for a relaxed structure of Cd2BCl.

Results
Total moment   0.0 μB per formula unit
N(E_F)   0.9 states/eV per cell

Unit cell a=6.1658 b=6.1658 c=10.2229 alpha=90.00 beta=90.00 gamma=90.00
Space group I-42d (No. 122)
Unique sites:
Cd (0.1774, 0.2500, 0.1250) x8
B (0.0000, 0.0000, 0.0000) x4
Cl (0.0000, 0.0000, 0.5000) x4

Least stable: arrangement a

Arrangement a

DFT (GGA-PBE) results for a relaxed structure of CdBSCl2.

Results
Total moment   0.9 μB per formula unit
N(E_F)   4.4 states/eV per cell

Unit cell a=5.1723 b=5.1723 c=5.0985 alpha=90.00 beta=90.00 gamma=90.00
Space group P4/mmm (No. 123)
Unique sites:
Cd (0.0000, 0.0000, 0.0000) x1
B (0.5000, 0.5000, 0.5000) x1
S (0.0000, 0.0000, 0.5000) x1
Cl (0.0000, 0.5000, 0.0000) x2

Arrangement b

DFT (GGA-PBE) results for a relaxed structure of CdBSCl2.

Results
Total moment   0.0 μB per formula unit
N(E_F)   0.9 states/eV per cell

Unit cell a=4.3107 b=4.3107 c=4.6305 alpha=90.00 beta=90.00 gamma=90.00
Space group P4/mmm (No. 123)
Unique sites:
Cd (0.0000, 0.0000, 0.0000) x1
B (0.5000, 0.5000, 0.5000) x1
S (0.5000, 0.5000, 0.0000) x1
Cl (0.0000, 0.5000, 0.5000) x2

Least stable: arrangement a

Arrangement a

DFT (GGA-PBE) results for a relaxed structure of CdCoB3.

Results
Total moment   1.7 μB per formula unit
N(E_F)   8.3 states/eV per cell

Unit cell a=4.2803 b=4.2803 c=4.2803 alpha=90.00 beta=90.00 gamma=90.00
Space group Pm-3m (No. 221)
Unique sites:
Cd (0.0000, 0.0000, 0.0000) x1
Co (0.5000, 0.5000, 0.5000) x1
B (0.0000, 0.0000, 0.5000) x3

Arrangement b

DFT (GGA-PBE) results for a relaxed structure of CdCoB3.

Results
Total moment   0.0 μB per formula unit
N(E_F)   2.0 states/eV per cell

Unit cell a=3.8809 b=3.8809 c=3.8809 alpha=90.00 beta=90.00 gamma=90.00
Space group Pm-3m (No. 221)
Unique sites:
Cd (0.0000, 0.0000, 0.0000) x1
Co (0.5000, 0.5000, 0.5000) x1
B (0.0000, 0.5000, 0.5000) x3

Least stable: arrangement a

Arrangement a

DFT (GGA-PBE) results for a relaxed structure of CdCo2B.

Results
Total moment   0.0 μB per formula unit
N(E_F)   11.2 states/eV per cell

Unit cell a=5.6968 b=5.6968 c=5.6968 alpha=90.00 beta=90.00 gamma=90.00
Space group Fm-3m (No. 225)
Unique sites:
Cd (0.0000, 0.0000, 0.0000) x4
Co (0.2500, 0.2500, 0.2500) x8
B (0.0000, 0.0000, 0.5000) x4

Arrangement b

DFT (GGA-PBE) results for a relaxed structure of CdCo2B.

Results
Total moment   1.7 μB per formula unit
N(E_F)   14.7 states/eV per cell

Unit cell a=4.3177 b=4.3177 c=12.9243 alpha=90.00 beta=90.00 gamma=90.00
Space group I-42d (No. 122)
Unique sites:
Cd (0.0000, 0.0000, 0.0000) x4
Co (0.0615, 0.2500, 0.6250) x8
B (0.0000, 0.0000, 0.5000) x4

Least stable: arrangement a

Arrangement a

DFT (GGA-PBE) results for a relaxed structure of Cr2CdB.

Results
Total moment   6.2 μB per formula unit
N(E_F)   13.6 states/eV per cell

Unit cell a=6.0417 b=6.0417 c=6.0417 alpha=90.00 beta=90.00 gamma=90.00
Space group Fm-3m (No. 225)
Unique sites:
Cr (0.2500, 0.2500, 0.2500) x8
Cd (0.0000, 0.0000, 0.0000) x4
B (0.0000, 0.0000, 0.5000) x4

Arrangement b

DFT (GGA-PBE) results for a relaxed structure of Cr2CdB.

Results
Total moment   0.0 μB per formula unit
N(E_F)   21.9 states/eV per cell

Unit cell a=3.9644 b=3.9644 c=15.3582 alpha=90.00 beta=90.00 gamma=90.00
Space group I-42d (No. 122)
Unique sites:
Cr (0.0623, 0.7500, 0.1250) x8
Cd (0.0000, 0.0000, 0.5000) x4
B (0.0000, 0.0000, 0.0000) x4

Least stable: arrangement b

Arrangement a

DFT (GGA-PBE) results for a relaxed structure of CsCd3B.

Results
Total moment   0.0 μB per formula unit
N(E_F)   2.6 states/eV per cell

Unit cell a=5.0971 b=5.0971 c=5.0971 alpha=90.00 beta=90.00 gamma=90.00
Space group Pm-3m (No. 221)
Unique sites:
Cs (0.0000, 0.0000, 0.0000) x1
Cd (0.0000, 0.5000, 0.5000) x3
B (0.5000, 0.5000, 0.5000) x1

Arrangement b

DFT (GGA-PBE) results for a relaxed structure of CsCd3B.

Results
Total moment   1.9 μB per formula unit
N(E_F)   12.1 states/eV per cell

Unit cell a=7.2800 b=7.2800 c=7.2800 alpha=90.00 beta=90.00 gamma=90.00
Space group Pm-3m (No. 221)
Unique sites:
Cs (0.0000, 0.0000, 0.0000) x1
Cd (0.0000, 0.0000, 0.5000) x3
B (0.5000, 0.5000, 0.5000) x1

Least stable: arrangement b

Arrangement a

DFT (GGA-PBE) results for a relaxed structure of CsCd2BP.

Results
Total moment   0.0 μB per formula unit
N(E_F)   4.4 states/eV per cell

Unit cell a=5.4969 b=5.4969 c=4.2250 alpha=90.00 beta=90.00 gamma=90.00
Space group P4/mmm (No. 123)
Unique sites:
Cs (0.0000, 0.0000, 0.0000) x1
Cd (0.0000, 0.5000, 0.5000) x2
B (0.5000, 0.5000, 0.5000) x1
P (0.5000, 0.5000, 0.0000) x1

Arrangement b

DFT (GGA-PBE) results for a relaxed structure of CsCd2BP.

Results
Total moment   0.0 μB per formula unit
N(E_F)   2.1 states/eV per cell

Unit cell a=6.9654 b=6.9654 c=3.4783 alpha=90.00 beta=90.00 gamma=90.00
Space group P4/mmm (No. 123)
Unique sites:
Cs (0.0000, 0.0000, 0.0000) x1
Cd (0.0000, 0.5000, 0.5000) x2
B (0.5000, 0.5000, 0.0000) x1
P (0.5000, 0.5000, 0.5000) x1

Least stable: arrangement a

Arrangement a

DFT (GGA-PBE) results for a relaxed structure of CdBF2.

Results
Total moment   0.7 μB per formula unit
N(E_F)   4.4 states/eV per cell

Unit cell a=2.9371 b=2.9371 c=24.4444 alpha=90.00 beta=90.00 gamma=120.00
Space group R-3m (No. 166, hexagonal axes)
Unique sites:
Cd (0.0000, 0.0000, 0.0000) x3
B (0.0000, 0.0000, 0.5000) x3
F (0.0000, 0.0000, 0.1263) x6

Arrangement b

DFT (GGA-PBE) results for a relaxed structure of CdBF2.

Results
Total moment   0.0 μB per formula unit
N(E_F)   11.5 states/eV per cell

Unit cell a=5.9342 b=5.9342 c=5.9342 alpha=90.00 beta=90.00 gamma=90.00
Space group Fm-3m (No. 225)
Unique sites:
Cd (0.0000, 0.0000, 0.0000) x4
B (0.0000, 0.0000, 0.5000) x4
F (0.2500, 0.2500, 0.2500) x8

Arrangement c

DFT (GGA-PBE) results for a relaxed structure of CdBF2.

Results
Total moment   0.0 μB per formula unit
N(E_F)   7.8 states/eV per cell

Unit cell a=7.9902 b=7.9902 c=7.9902 alpha=90.00 beta=90.00 gamma=90.00
Space group Fd-3m (No. 227, origin choice 2)
Unique sites:
Cd (0.1250, 0.1250, 0.1250) x8
B (0.1250, 0.1250, 0.6250) x8
F (0.0000, 0.0000, 0.5000) x16

Least stable: arrangement b

Arrangement a

DFT (GGA-PBE) results for a relaxed structure of CdBN2F.

Results
Total moment   0.0 μB per formula unit
N(E_F)   1.7 states/eV per cell

Unit cell a=3.2032 b=3.2032 c=4.9842 alpha=90.00 beta=90.00 gamma=90.00
Space group P4/mmm (No. 123)
Unique sites:
Cd (0.0000, 0.0000, 0.0000) x1
B (0.5000, 0.5000, 0.5000) x1
N (0.0000, 0.5000, 0.5000) x2
F (0.5000, 0.5000, 0.0000) x1

Arrangement b

DFT (GGA-PBE) results for a relaxed structure of CdBN2F.

Results
Total moment   3.5 μB per formula unit
N(E_F)   1.3 states/eV per cell

Unit cell a=4.3244 b=4.3244 c=4.4965 alpha=90.00 beta=90.00 gamma=90.00
Space group P4/mmm (No. 123)
Unique sites:
Cd (0.0000, 0.0000, 0.0000) x1
B (0.5000, 0.5000, 0.5000) x1
N (0.0000, 0.5000, 0.0000) x2
F (0.0000, 0.0000, 0.5000) x1

Least stable: arrangement b

Arrangement a

DFT (GGA-PBE) results for a relaxed structure of CdBNF2.

Results
Total moment   0.0 μB per formula unit
N(E_F)   2.0 states/eV per cell

Unit cell a=4.4317 b=4.4317 c=2.7433 alpha=90.00 beta=90.00 gamma=90.00
Space group P4/mmm (No. 123)
Unique sites:
Cd (0.0000, 0.0000, 0.0000) x1
B (0.5000, 0.5000, 0.5000) x1
N (0.5000, 0.5000, 0.0000) x1
F (0.0000, 0.5000, 0.5000) x2

Arrangement b

DFT (GGA-PBE) results for a relaxed structure of CdBNF2.

Results
Total moment   1.9 μB per formula unit
N(E_F)   1.7 states/eV per cell

Unit cell a=4.4265 b=4.4265 c=4.3951 alpha=90.00 beta=90.00 gamma=90.00
Space group P4/mmm (No. 123)
Unique sites:
Cd (0.0000, 0.0000, 0.0000) x1
B (0.5000, 0.5000, 0.5000) x1
N (0.0000, 0.0000, 0.5000) x1
F (0.0000, 0.5000, 0.0000) x2

Least stable: arrangement b